4
Lattice="0.000 3.386 3.386 3.386 0.000 3.386 3.386 3.386 0.000" Properties=species:S:1:pos:R:3 comment="GdZrNiPt | Alexandria via LeMat-Bulk | PBE | relaxed" n_ef_per_ev_fu=2.909 e_tot_ry_per_atom=-0.6789 e_form_mev_per_atom=-624 pbc="T T T"
Gd 0.000 0.000 0.000
Zr 3.386 3.386 3.386
Ni 1.693 1.693 1.693
Pt 5.079 5.079 5.079